[1]
Crystalline Rb3NiTe at its relaxed geometry, computed with PBE.

Cell and atoms, written as extended XYZ:
```
5
Lattice="6.943 0.000 0.000 0.000 6.943 0.000 0.000 0.000 6.943" Properties=species:S:1:pos:R:3 pbc="T T T"
Ni 3.471 3.471 3.471
Te 0.000 0.000 0.000
Rb 0.000 3.471 0.000
Rb 0.000 0.000 3.471
Rb 3.471 0.000 0.000
```

## Properties
Space-group type   Pm-3m, No. 221
Energy   -11.50 eV per cell
Offset from the most stable computed form   0.000 eV per formula unit
Fermi-level density of states   66.87 states/eV/cell

---

[2]
Crystalline In2Ga2Br7 at its relaxed geometry, computed with PBE.

Cell and atoms, written as extended XYZ:
```
22
Lattice="6.765 0.025 0.000 -1.127 8.330 0.000 0.000 0.000 16.320" Properties=species:S:1:pos:R:3 pbc="T T T"
In 3.121 7.632 2.493
In 1.954 4.888 10.653
In 2.518 0.723 13.827
In 3.684 3.467 5.667
Ga 5.009 5.480 14.478
Ga 0.629 2.875 1.842
Ga 5.573 1.315 10.001
Ga 0.066 7.040 6.318
Br 0.000 0.000 8.160
Br -0.563 4.165 0.000
Br 1.879 0.999 0.912
Br 4.323 3.191 9.072
Br 3.759 7.356 15.407
Br 1.316 5.164 7.247
Br 0.408 2.180 11.620
Br -0.155 6.345 12.859
Br 5.794 2.011 3.461
Br 5.231 6.176 4.699
Br 2.901 8.126 11.130
Br 3.464 3.961 13.350
Br 2.174 4.394 2.970
Br 2.738 0.229 5.190
```

## Properties
Space-group type   P2_1/c, No. 14
Energy   -61.55 eV per cell
Fermi-level density of states   8.71 states/eV/cell

---

[3]
Crystalline Cs6VCl12 at its relaxed geometry, computed with PBE.

Cell and atoms, written as extended XYZ:
```
19
Lattice="-4.548 3.909 7.610 -3.365 -8.482 3.258 7.412 -1.426 6.075" Properties=species:S:1:pos:R:3 pbc="T T T"
Cs -1.350 1.121 11.583
Cs -4.995 -0.967 7.366
Cs 3.527 0.677 8.201
Cs 0.849 -7.119 5.361
Cs 4.494 -5.031 9.578
Cs -4.028 -6.676 8.743
V 0.000 0.000 0.000
Cl -0.916 -8.056 8.211
Cl -4.181 -0.653 10.736
Cl 4.222 -1.751 10.596
Cl 0.414 2.057 8.733
Cl 3.679 -5.346 6.208
Cl -4.724 -4.248 6.348
Cl 2.765 -8.209 8.501
Cl -2.916 -7.225 5.113
Cl 5.571 -2.301 7.107
Cl -3.266 2.211 8.443
Cl 2.414 1.226 11.831
Cl -6.072 -3.698 9.837
```

## Properties
Space-group type   R-3, No. 148
Energy   -64.72 eV per cell
Fermi-level density of states   37.62 states/eV/cell

---

[4]
Crystalline TaIrBr2 at its relaxed geometry, computed with PBE.

Cell and atoms, written as extended XYZ:
```
4
Lattice="-6.495 -5.223 3.525 -6.103 -6.642 0.724 -4.202 -7.371 3.147" Properties=species:S:1:pos:R:3 pbc="T T T"
Ir 0.000 0.000 0.000
Br -15.238 -17.445 6.708
Br -1.563 -1.789 0.688
Ta -8.401 -9.617 3.698
```

## Properties
Space-group type   R-3m, No. 166
Energy   -22.02 eV per cell
Offset from the most stable computed form   3.774 eV per formula unit
Fermi-level density of states   3.86 states/eV/cell

---

[5]
Crystalline GaCuSeS at its relaxed geometry, computed with PBE.

Cell and atoms, written as extended XYZ:
```
4
Lattice="3.945 -0.003 -0.009 -1.971 3.417 0.009 -1.957 -1.146 6.325" Properties=species:S:1:pos:R:3 pbc="T T T"
Ga -1.507 0.871 4.457
Cu -1.507 3.148 1.207
Se 0.462 2.010 0.506
S 0.462 -0.267 3.513
```

## Properties
Space-group type   Cm, No. 8
Energy   -16.42 eV per cell
Offset from the most stable computed form   0.408 eV per formula unit
Fermi-level density of states   1.02 states/eV/cell

---

[6]
Crystalline AcPuGeRu at its relaxed geometry, computed with PBE.

Cell and atoms, written as extended XYZ:
```
4
Lattice="-3.210 -3.936 0.882 0.013 -4.090 -3.138 1.853 -4.516 1.658" Properties=species:S:1:pos:R:3 pbc="T T T"
Ru 0.000 0.000 0.000
Ac -0.336 -3.135 -0.149
Ge -0.672 -6.271 -0.299
Pu -1.008 -9.406 -0.448
```

## Properties
Formation energy from the elements   -70 meV/atom
Space-group type   F-43m, No. 216
Energy   -32.61 eV per cell
Fermi-level density of states   9.90 states/eV/cell

---

[7]
Crystalline GdYTlGa at its relaxed geometry, computed with PBE.

Cell and atoms, written as extended XYZ:
```
4
Lattice="5.256 0.000 0.000 2.628 4.552 0.000 2.628 1.517 4.292" Properties=species:S:1:pos:R:3 pbc="T T T"
Y 7.884 4.552 3.219
Tl 5.256 3.035 2.146
Gd 2.628 1.517 1.073
Ga 0.000 0.000 0.000
```

## Properties
Formation energy from the elements   -452 meV/atom
Space-group type   F-43m, No. 216
Energy   -27.75 eV per cell
Fermi-level density of states   2.57 states/eV/cell

---

[8]
Crystalline LaMg2AlRu at its relaxed geometry, computed with PBE.

Cell and atoms, written as extended XYZ:
```
5
Lattice="-3.018 -3.478 -1.839 2.734 -0.186 -4.132 2.731 -3.407 1.960" Properties=species:S:1:pos:R:3 pbc="T T T"
Ru 0.000 0.000 0.000
Mg 1.367 -0.093 -2.066
Mg -1.509 -1.739 -0.920
Al 1.366 -1.704 0.980
La 1.224 -3.536 -2.006
```

## Properties
Formation energy from the elements   -187 meV/atom
Space-group type   P4/mmm, No. 123
Energy   -22.07 eV per cell
Fermi-level density of states   3.72 states/eV/cell